VASP calculation (GGA-PBE) on a relaxed Y2AlRe crystal.

## Properties
- Volume: 20.56 Å³/atom
- Calculated formation energy: 0.15 eV/atom
- Total magnetization: 0.01 μB per cell
- Energy: -7.13 eV/atom

Cell lengths 6.9035, 6.9035, 6.9035 Å; angles 90.00, 90.00, 90.00 degrees
Closest atoms and distances in Å follow each position.
Space group F-43m (No. 216)
One atom of each set of equivalent atoms:
Y: 0.0000 0.0000 0.0000 (multiplicity 4)  4 Y 2.99, 4 Re 2.99
Y: 0.2500 0.2500 0.2500 (multiplicity 4)  4 Al 2.99, 4 Y 2.99
Al: 0.0000 0.0000 0.5000 (multiplicity 4)  4 Re 2.99, 4 Y 2.99
Re: 0.2500 0.2500 0.7500 (multiplicity 4)  4 Al 2.99, 4 Y 2.99

VASP calculation (GGA-PBE) on a relaxed TbIrPd2 crystal.

## Properties
- Volume: 17.34 Å³/atom
- Calculated formation energy: -0.60 eV/atom
- Total magnetization: 0.00 μB per cell
- Energy: -6.57 eV/atom

Cell lengths 4.1364, 4.1364, 4.0548 Å; angles 90.00, 90.00, 90.00 degrees
Closest atoms and distances in Å follow each position.
Space group P4/mmm (No. 123)
One atom of each set of equivalent atoms:
Tb: 0.0000 0.0000 0.0000 (multiplicity 1)  8 Pd 2.90, 4 Ir 2.92
Ir: 0.5000 0.5000 0.0000 (multiplicity 1)  8 Pd 2.90, 4 Tb 2.92
Pd: 0.0000 0.5000 0.5000 (multiplicity 2)  4 Tb 2.90, 4 Ir 2.90, 4 Pd 2.92

VASP calculation (GGA-PBE) on a relaxed NaSrGdMg crystal.

## Properties
- Volume: 34.90 Å³/atom
- Calculated formation energy: 0.14 eV/atom
- Total magnetization: 30.64 μB per cell
- Energy: -4.53 eV/atom

Cell lengths 8.2346, 8.2346, 8.2346 Å; angles 90.00, 90.00, 90.00 degrees
Closest atoms and distances in Å follow each position.
Space group F-43m (No. 216)
One atom of each set of equivalent atoms:
Na: 0.0000 0.0000 0.0000 (multiplicity 4)  4 Sr 3.57, 4 Gd 3.57
Sr: 0.2500 0.2500 0.2500 (multiplicity 4)  4 Na 3.57, 4 Mg 3.57
Gd: 0.2500 0.2500 0.7500 (multiplicity 4)  4 Na 3.57, 4 Mg 3.57
Mg: 0.0000 0.0000 0.5000 (multiplicity 4)  4 Gd 3.57, 4 Sr 3.57

VASP calculation (GGA-PBE) on a relaxed Pu3In2Hg8 crystal.

## Properties
- Volume: 26.76 Å³/atom
- Calculated formation energy: 0.04 eV/atom
- Total magnetization: 54.92 μB per cell
- Energy: -3.87 eV/atom

Cell lengths 5.6839, 5.6839, 37.2971 Å; angles 90.00, 90.00, 120.00 degrees
Closest atoms and distances in Å follow each position.
Space group R-3m (No. 166, hexagonal axes)
One atom of each set of equivalent atoms:
Pu: 0.0000 0.0000 0.0000 (multiplicity 3)  2 Pu 2.99
Pu: 0.0000 0.0000 0.0803 (multiplicity 6)  1 Pu 2.99, 6 Hg 3.35
In: 0.0000 0.0000 0.3774 (multiplicity 6)  4 Hg 3.14-3.28
Hg: 0.0000 0.0000 0.2933 (multiplicity 6)  4 In 3.14-3.28
Hg: 0.0012 0.5006 0.8720 (multiplicity 18)  4 Hg 2.83-2.85